(A)
# ScZn4Ni (PBE-GGA, relaxed)
data_ScZn4Ni
_chemical_formula_sum 'Sc2 Zn8 Ni2'
_cell_length_a 7.567
_cell_length_b 3.775
_cell_length_c 6.559
_cell_angle_alpha 90.00
_cell_angle_beta 90.00
_cell_angle_gamma 90.00
_space_group_name_H-M_alt 'P m m a'
_space_group_IT_number 51
loop_
_space_group_symop_operation_xyz
'x,y,z'
'-x,-y,-z'
'-x+1/2,-y,z'
'x+1/2,y,-z'
'x+1/2,-y,-z'
'-x+1/2,y,z'
'-x,y,-z'
'x,-y,z'
loop_
_atom_site_label
_atom_site_type_symbol
_atom_site_fract_x
_atom_site_fract_y
_atom_site_fract_z
Sc1 Sc 0.250 0.000 0.107
Zn1 Zn 0.000 0.000 0.500
Zn2 Zn 0.051 0.500 0.812
Zn3 Zn 0.250 0.500 0.444
Ni1 Ni 0.250 0.000 0.718
# - density (g/cm³) = 6.5

=====

(B)
# ScZn4Ni (PBE-GGA, relaxed)
data_ScZn4Ni
_chemical_formula_sum 'Sc4 Zn16 Ni4'
_cell_length_a 12.028
_cell_length_b 5.276
_cell_length_c 6.253
_cell_angle_alpha 90.00
_cell_angle_beta 108.80
_cell_angle_gamma 90.00
_space_group_name_H-M_alt 'C 1 2/m 1'
_space_group_IT_number 12
loop_
_space_group_symop_operation_xyz
'x,y,z'
'-x,-y,-z'
'-x,y,-z'
'x,-y,z'
'x+1/2,y+1/2,z'
'-x+1/2,-y+1/2,-z'
'-x+1/2,y+1/2,-z'
'x+1/2,-y+1/2,z'
loop_
_atom_site_label
_atom_site_type_symbol
_atom_site_fract_x
_atom_site_fract_y
_atom_site_fract_z
Sc1 Sc 0.187 0.000 0.351
Zn1 Zn 0.000 0.252 0.000
Zn2 Zn 0.094 0.248 0.688
Zn3 Zn 0.215 0.500 0.092
Ni1 Ni 0.097 0.500 0.357
# - density (g/cm³) = 6.5

=====

Most stable one: (A), least stable one: (B).

=====

(A)
# Sc2Zn3Ni2 (PBE-GGA, relaxed)
data_Sc2Zn3Ni2
_chemical_formula_sum 'Sc4 Zn6 Ni4'
_cell_length_a 9.157
_cell_length_b 3.992
_cell_length_c 6.218
_cell_angle_alpha 90.00
_cell_angle_beta 102.30
_cell_angle_gamma 90.00
_space_group_name_H-M_alt 'C 1 2/m 1'
_space_group_IT_number 12
loop_
_space_group_symop_operation_xyz
'x,y,z'
'-x,-y,-z'
'-x,y,-z'
'x,-y,z'
'x+1/2,y+1/2,z'
'-x+1/2,-y+1/2,-z'
'-x+1/2,y+1/2,-z'
'x+1/2,-y+1/2,z'
loop_
_atom_site_label
_atom_site_type_symbol
_atom_site_fract_x
_atom_site_fract_y
_atom_site_fract_z
Sc1 Sc 0.121 0.000 0.357
Zn1 Zn 0.000 0.500 0.000
Zn2 Zn 0.203 0.000 0.873
Ni1 Ni 0.094 0.500 0.662
# - density (g/cm³) = 6.0

=====

(B)
# Sc2Zn3Ni2 (PBE-GGA, relaxed)
data_Sc2Zn3Ni2
_chemical_formula_sum 'Sc4 Zn6 Ni4'
_cell_length_a 9.319
_cell_length_b 4.007
_cell_length_c 6.175
_cell_angle_alpha 90.00
_cell_angle_beta 107.27
_cell_angle_gamma 90.00
_space_group_name_H-M_alt 'C 1 2/m 1'
_space_group_IT_number 12
loop_
_space_group_symop_operation_xyz
'x,y,z'
'-x,-y,-z'
'-x,y,-z'
'x,-y,z'
'x+1/2,y+1/2,z'
'-x+1/2,-y+1/2,-z'
'-x+1/2,y+1/2,-z'
'x+1/2,-y+1/2,z'
loop_
_atom_site_label
_atom_site_type_symbol
_atom_site_fract_x
_atom_site_fract_y
_atom_site_fract_z
Sc1 Sc 0.128 0.000 0.230
Zn1 Zn 0.000 0.500 0.500
Zn2 Zn 0.159 0.000 0.718
Ni1 Ni 0.121 0.500 0.934
# - density (g/cm³) = 6.1

=====

Most stable one: (A), least stable one: (B).

=====

(A)
# Zr2ScNi9 (PBE-GGA, relaxed)
data_Zr2ScNi9
_chemical_formula_sum 'Zr2 Sc1 Ni9'
_cell_length_a 3.741
_cell_length_b 3.741
_cell_length_c 11.214
_cell_angle_alpha 90.00
_cell_angle_beta 90.00
_cell_angle_gamma 90.00
_space_group_name_H-M_alt 'P 4/m m m'
_space_group_IT_number 123
_space_group_name_Hall '-P 4 2'
loop_
_atom_site_label
_atom_site_type_symbol
_atom_site_fract_x
_atom_site_fract_y
_atom_site_fract_z
Zr1 Zr 0.000 0.000 0.170
Sc1 Sc 0.000 0.000 0.500
Ni1 Ni 0.000 0.500 0.000
Ni2 Ni 0.000 0.500 0.335
Ni3 Ni 0.500 0.500 0.166
Ni4 Ni 0.500 0.500 0.500
# - density (g/cm³) = 8.0

=====

(B)
# Zr2ScNi9 (PBE-GGA, relaxed)
data_Zr2ScNi9
_chemical_formula_sum 'Zr6 Sc3 Ni27'
_cell_length_a 4.8402
_cell_length_b 4.8402
_cell_length_c 23.8367
_cell_angle_alpha 90.00
_cell_angle_beta 90.00
_cell_angle_gamma 120.00
_space_group_name_H-M_alt 'R -3 m'
_space_group_IT_number 166
_space_group_name_Hall '-R 3 2"'
loop_
_atom_site_label
_atom_site_type_symbol
_atom_site_fract_x
_atom_site_fract_y
_atom_site_fract_z
Zr1 Zr 0.0000 0.0000 0.1377
Sc1 Sc 0.0000 0.0000 0.0000
Ni1 Ni 0.0000 0.0000 0.3337
Ni2 Ni 0.0000 0.0000 0.5000
Ni3 Ni 0.0036 0.5018 0.9160
# - density (g/cm³) = 7.8

=====

Most stable one: (A), least stable one: (B).

=====

(A)
# NiSe5 (PBE-GGA, relaxed)
data_NiSe5
_chemical_formula_sum 'Ni2 Se10'
_cell_length_a 3.630
_cell_length_b 14.162
_cell_length_c 5.409
_cell_angle_alpha 90.00
_cell_angle_beta 90.00
_cell_angle_gamma 90.00
_space_group_name_H-M_alt 'C m m m'
_space_group_IT_number 65
_space_group_name_Hall '-C 2 2'
loop_
_atom_site_label
_atom_site_type_symbol
_atom_site_fract_x
_atom_site_fract_y
_atom_site_fract_z
Ni1 Ni 0.000 0.000 0.000
Se1 Se 0.000 0.000 0.500
Se2 Se 0.000 0.366 0.500
Se3 Se 0.000 0.388 0.000
# - density (g/cm³) = 5.4

=====

(B)
# NiSe5 (PBE-GGA, relaxed)
data_NiSe5
_chemical_formula_sum 'Ni2 Se10'
_cell_length_a 4.643
_cell_length_b 3.405
_cell_length_c 18.096
_cell_angle_alpha 90.00
_cell_angle_beta 90.00
_cell_angle_gamma 90.00
_space_group_name_H-M_alt 'A m m 2'
_space_group_IT_number 38
loop_
_space_group_symop_operation_xyz
'x,y,z'
'-x,-y,z'
'-x,y,z'
'x,-y,z'
'x,y+1/2,z+1/2'
'-x,-y+1/2,z+1/2'
'-x,y+1/2,z+1/2'
'x,-y+1/2,z+1/2'
loop_
_atom_site_label
_atom_site_type_symbol
_atom_site_fract_x
_atom_site_fract_y
_atom_site_fract_z
Ni1 Ni 0.000 0.000 0.000
Se1 Se 0.000 0.000 0.410
Se2 Se 0.000 0.000 0.593
Se3 Se 0.500 0.000 0.224
Se4 Se 0.500 0.000 0.529
Se5 Se 0.500 0.000 0.819
# - density (g/cm³) = 5.3

=====

Most stable one: (A), least stable one: (B).

=====

(A)
# Ni3Se (PBE-GGA, relaxed)
data_Ni3Se
_chemical_formula_sum 'Ni3 Se1'
_cell_length_a 3.6190
_cell_length_b 3.6190
_cell_length_c 4.9638
_cell_angle_alpha 90.00
_cell_angle_beta 90.00
_cell_angle_gamma 120.00
_space_group_name_H-M_alt 'P -6 m 2'
_space_group_IT_number 187
_space_group_name_Hall 'P -6 2'
loop_
_atom_site_label
_atom_site_type_symbol
_atom_site_fract_x
_atom_site_fract_y
_atom_site_fract_z
Ni1 Ni 0.0000 0.0000 0.0000
Ni2 Ni 0.3333 0.6667 0.2511
Se1 Se 0.0000 0.0000 0.5000
# - density (g/cm³) = 7.5

=====

(B)
# Ni3Se (PBE-GGA, relaxed)
data_Ni3Se
_chemical_formula_sum 'Ni12 Se4'
_cell_length_a 7.030
_cell_length_b 7.870
_cell_length_c 3.570
_cell_angle_alpha 90.00
_cell_angle_beta 90.00
_cell_angle_gamma 90.00
_space_group_name_H-M_alt 'C m c m'
_space_group_IT_number 63
_space_group_name_Hall '-C 2c 2'
loop_
_atom_site_label
_atom_site_type_symbol
_atom_site_fract_x
_atom_site_fract_y
_atom_site_fract_z
Ni1 Ni 0.000 0.111 0.250
Ni2 Ni 0.239 0.382 0.250
Se1 Se 0.000 0.320 0.750
# - density (g/cm³) = 8.6

=====

Most stable one: (B), least stable one: (A).

=====

(A)
# Ni4Se5 (PBE-GGA, relaxed)
data_Ni4Se5
_chemical_formula_sum 'Ni8 Se10'
_cell_length_a 7.0213
_cell_length_b 7.0213
_cell_length_c 6.9374
_cell_angle_alpha 90.00
_cell_angle_beta 90.00
_cell_angle_gamma 120.00
_space_group_name_H-M_alt 'P 63/m c m'
_space_group_IT_number 193
_space_group_name_Hall '-P 6c 2'
loop_
_atom_site_label
_atom_site_type_symbol
_atom_site_fract_x
_atom_site_fract_y
_atom_site_fract_z
Ni1 Ni 0.0000 0.0000 0.0000
Ni2 Ni 0.0000 0.4242 0.2500
Se1 Se 0.0000 0.2419 0.7500
Se2 Se 0.3333 0.6667 0.0000
# - density (g/cm³) = 7.1

=====

(B)
# Ni4Se5 (PBE-GGA, relaxed)
data_Ni4Se5
_chemical_formula_sum 'Ni8 Se10'
_cell_length_a 13.315
_cell_length_b 13.315
_cell_length_c 2.776
_cell_angle_alpha 90.00
_cell_angle_beta 90.00
_cell_angle_gamma 90.00
_space_group_name_H-M_alt 'I 4/m m m'
_space_group_IT_number 139
_space_group_name_Hall '-I 4 2'
loop_
_atom_site_label
_atom_site_type_symbol
_atom_site_fract_x
_atom_site_fract_y
_atom_site_fract_z
Ni1 Ni 0.000 0.170 0.000
Se1 Se 0.000 0.000 0.000
Se2 Se 0.160 0.160 0.500
# - density (g/cm³) = 4.2

=====

Most stable one: (A), least stable one: (B).